Entry 1:
Entry from Alexandria via LeMat-Bulk: Y2RhSBr after structural relaxation (GGA-PBE).

Lattice parameters (Å, degrees): 5.3487 5.3487 4.6968 90.00 90.00 90.00
Sites, in units of the cell vectors:
Y1 0.0000 0.5000 0.0000
Y2 0.5000 0.0000 0.0000
Rh1 0.0000 0.0000 0.5000
S1 0.5000 0.5000 0.5000
Br1 0.5000 0.5000 0.0000

Mass density   4.9 g/cm³
Magnetic moment   0.4 μB/f.u.
E_form (uncorrected)   0.337 eV/atom

---

Entry 2:
Entry from Alexandria via LeMat-Bulk: Y2CuAgS4 after structural relaxation (GGA-PBE).

Lattice parameters (Å, degrees): 7.8094 7.8094 7.8094 114.78 113.49 100.50
Sites, in units of the cell vectors:
Y1 0.0000 0.0000 0.0000
Y2 0.5000 0.0000 0.0000
Y3 0.5000 0.0000 0.5000
Y4 0.5000 0.5000 0.5000
Cu1 0.0000 0.0000 0.5000
Cu2 0.0000 0.5000 0.0000
Ag1 0.0000 0.5000 0.5000
Ag2 0.5000 0.5000 0.0000
S1 0.2233 0.1901 0.4668
S2 0.2233 0.7565 0.0332
S3 0.2806 0.7394 0.5412
S4 0.3018 0.2606 0.0412
S5 0.6982 0.7394 0.9588
S6 0.7194 0.2606 0.4588
S7 0.7767 0.2435 0.9668
S8 0.7767 0.8099 0.5332

Mass density   4.4 g/cm³
Magnetic moment   0.0 μB/f.u.
E_form (uncorrected)   -1.241 eV/atom

---

Entry 3:
Entry from Alexandria via LeMat-Bulk: BePAu after structural relaxation (GGA-PBE).

Lattice parameters (Å, degrees): 3.8155 3.8155 4.6612 118.09 118.09 58.21
Sites, in units of the cell vectors:
Be1 0.0000 0.0000 0.0000
P1 0.7316 0.7316 0.1232
Au1 0.3719 0.3719 0.5643

Mass density   8.1 g/cm³
Magnetic moment   0.0 μB/f.u.
E   -4.23 eV/atom

---

Entry 4:
Entry from Alexandria via LeMat-Bulk: MgCd2In3Hg6 after structural relaxation (GGA-PBE).

Lattice parameters (Å, degrees): 6.0495 6.0495 9.6428 97.01 97.01 119.85
Sites, in units of the cell vectors:
Mg1 0.0000 0.0000 0.0000
Cd1 0.3367 0.6633 0.0000
Cd2 0.6633 0.3367 0.0000
In1 0.1723 0.8277 0.5000
In2 0.5000 0.5000 0.5000
In3 0.8277 0.1723 0.5000
Hg1 0.0804 0.4055 0.2384
Hg2 0.2374 0.2374 0.7561
Hg3 0.4055 0.0804 0.2384
Hg4 0.5945 0.9196 0.7616
Hg5 0.7626 0.7626 0.2439
Hg6 0.9196 0.5945 0.7616

Mass density   10.1 g/cm³
Magnetic moment   0.0 μB/f.u.
E   -1.15 eV/atom

---

Entry 5:
Entry from Alexandria via LeMat-Bulk: HgOs2 after structural relaxation (GGA-PBE).

Lattice parameters (Å, degrees): 8.1748 8.1748 8.1748 152.45 152.45 39.35
Sites, in units of the cell vectors:
Hg1 0.3750 0.6250 0.7500
Hg2 0.6250 0.3750 0.2500
Os1 0.0454 0.7954 0.2500
Os2 0.2046 0.9546 0.2500
Os3 0.7954 0.0454 0.7500
Os4 0.9546 0.2046 0.7500

Mass density   16.5 g/cm³
Magnetic moment   0.0 μB/f.u.
Energy above the most stable polymorph in this dataset   0.7683 eV per atom

---

Entry 6:
Entry from Alexandria via LeMat-Bulk: TlIn3Ir after structural relaxation (GGA-PBE).

Lattice parameters (Å, degrees): 5.2102 5.2102 5.2102 90.00 90.00 90.00
Sites, in units of the cell vectors:
Tl1 0.0000 0.0000 0.0000
In1 0.0000 0.5000 0.5000
In2 0.5000 0.0000 0.5000
In3 0.5000 0.5000 0.0000
Ir1 0.5000 0.5000 0.5000

Mass density   8.7 g/cm³
Magnetic moment   0.0 μB/f.u.
E   -3.95 eV/atom

---

Q: mass density of number 4 (MgCd2In3Hg6)?
A: 10.1 g/cm³

---

Q: The highest mass density belongs to which entry?
A: HgOs2

---

Q: magnetic moment of number 6 (TlIn3Ir)?
A: 0.0 μB/f.u.